1.
InIrRu2: optimized geometry, GGA-PBE.

Calculated values
Size of the total moment: 0.694 μB per atom
E_tot: -0.5274 Ry per atom
Formation energy: 34.98 kJ/mol of atoms

a b c (Å): 4.4831 4.4831 4.4831
angles (deg): 60.00 60.00 60.00
Closest atoms and distances in Å follow each position.
Fractional positions:
In 0.5000 0.5000 0.5000  4 Ru 2.75, 4 Ir 2.75
Ir 0.7500 0.7500 0.7500  4 Ru 2.75, 4 In 2.75
Ru 0.0000 0.0000 0.0000  4 Ir 2.75, 4 Ru 2.75
Ru 0.2500 0.2500 0.2500  4 In 2.75, 4 Ru 2.75

---

2.
NaHf2Pd: optimized geometry, GGA-PBE.

Calculated values
Size of the total moment: 0.000 μB per atom
E_tot: -0.4686 Ry per atom
Energy above the lowest structure with this stoichiometry: 0.0 meV/atom
Formation energy: 22.06 kJ/mol of atoms

a b c (Å): 4.8093 4.8093 4.8093
angles (deg): 60.00 60.00 60.00
Closest atoms and distances in Å follow each position.
Fractional positions:
Na 0.0000 0.0000 0.0000  8 Hf 2.95
Hf 0.2500 0.2500 0.2500  4 Na 2.95, 4 Pd 2.95
Hf 0.7500 0.7500 0.7500  4 Na 2.95, 4 Pd 2.95
Pd 0.5000 0.5000 0.5000  8 Hf 2.95

---

3.
ZnRuIO2: optimized geometry, GGA-PBE.

Calculated values
Formation energy (no corrections): 0.473 eV per atom
Size of the total moment: 0.674 μB per atom
E_tot: -0.2889 Ry per atom
Energy above the lowest structure with this stoichiometry: 767.6 meV/atom

a b c (Å): 3.8411 3.8411 6.2455
angles (deg): 90.00 90.00 90.00
Closest atoms and distances in Å follow each position.
Fractional positions:
I 0.0000 0.0000 0.5000  4 Ru 2.72
Ru 0.5000 0.5000 0.5000  4 I 2.72
Zn 0.0000 0.0000 0.0000  4 O 1.92
O 0.0000 0.5000 0.0000  2 Zn 1.92
O 0.5000 0.0000 0.0000  2 Zn 1.92

---

4.
AcY4Ho7: optimized geometry, GGA-PBE.

Calculated values
Size of the total moment: 0.000 μB per atom
E_tot: -0.3788 Ry per atom
Energy above the lowest structure with this stoichiometry: 0.0 meV/atom
Formation energy: 1.32 kJ/mol of atoms

a b c (Å): 7.2242 9.5471 8.8965
angles (deg): 81.14 90.06 40.87
Closest atoms and distances in Å follow each position.
Fractional positions:
Ac 0.0000 0.0000 0.0000  10 Ho 3.59-3.63, 2 Y 3.59
Y 0.5338 0.7185 0.3370  8 Ho 3.50-3.65, 3 Y 3.52-3.61, 1 Ac 3.59
Y 0.4662 0.2815 0.6630  8 Ho 3.50-3.65, 3 Y 3.52-3.61, 1 Ac 3.59
Y 0.7216 0.7785 0.6654  4 Y 3.52-3.61, 8 Ho 3.52-3.61
Y 0.2784 0.2215 0.3346  4 Y 3.52-3.61, 8 Ho 3.52-3.61
Ho 0.7547 0.4994 0.9990  3 Y 3.54-3.59, 7 Ho 3.55-3.67, 2 Ac 3.62-3.63
Ho 0.2453 0.5006 0.0010  3 Y 3.54-3.59, 7 Ho 3.55-3.67, 2 Ac 3.62-3.63
Ho 0.9740 0.2788 0.6638  6 Y 3.50-3.65, 5 Ho 3.51-3.63, 1 Ac 3.59
Ho 0.0260 0.7212 0.3362  6 Y 3.50-3.65, 5 Ho 3.51-3.63, 1 Ac 3.59
Ho 0.2234 0.7769 0.6618  6 Ho 3.50-3.63, 5 Y 3.51-3.65, 1 Ac 3.60
Ho 0.5000 0.0000 0.0000  6 Ho 3.56-3.60, 4 Y 3.57-3.58, 2 Ac 3.61
Ho 0.7766 0.2231 0.3382  6 Ho 3.50-3.63, 5 Y 3.51-3.65, 1 Ac 3.60

---

5.
Zr2AlAu: optimized geometry, GGA-PBE.

Calculated values
Size of the total moment: 0.000 μB per atom
E_tot: -0.4573 Ry per atom
Formation energy: -18.64 kJ/mol of atoms

a b c (Å): 9.9944 9.9944 9.9944
angles (deg): 17.70 17.70 17.70
Closest atoms and distances in Å follow each position.
Fractional positions:
Au 0.7500 0.7500 0.7500  6 Zr 3.02, 6 Au 3.07
Al 0.2500 0.2500 0.2500  6 Zr 3.04, 6 Al 3.07
Zr 0.0004 0.0004 0.0004  3 Au 3.02, 3 Al 3.04, 6 Zr 3.07
Zr 0.4996 0.4996 0.4996  3 Au 3.02, 3 Al 3.04, 6 Zr 3.07

---

6.
Ti5VC5: optimized geometry, GGA-PBE.

Calculated values
Size of the total moment: 0.000 μB per atom
E_tot: -0.6855 Ry per atom
Formation energy: -69.07 kJ/mol of atoms

a b c (Å): 4.2972 5.2568 6.0981
angles (deg): 106.95 90.00 114.13
Closest atoms and distances in Å follow each position.
Fractional positions:
Ti 0.6769 0.3538 0.3284  5 C 2.06-2.17
Ti 0.6699 0.3398 0.8456  5 C 2.09-2.18
Ti 0.0000 0.0000 0.5000  4 C 2.14-2.15
Ti 0.3301 0.6602 0.1544  5 C 2.09-2.18
Ti 0.3231 0.6462 0.6716  5 C 2.06-2.17
V 0.0000 0.0000 0.0000  6 C 2.14-2.15
C 0.8349 0.6699 0.1663  5 Ti 2.06-2.15, 1 V 2.14
C 0.8346 0.6693 0.6679  1 V 2.14, 5 Ti 2.14-2.18
C 0.5000 0.0000 0.0000  4 Ti 2.13-2.17, 2 V 2.15
C 0.1654 0.3307 0.3321  1 V 2.14, 5 Ti 2.14-2.18
C 0.1651 0.3301 0.8337  5 Ti 2.06-2.15, 1 V 2.14

---

7.
La7Ho4Pu: optimized geometry, GGA-PBE.

Calculated values
Size of the total moment: 0.546 μB per atom
E_tot: -0.4020 Ry per atom
Formation energy: 12.04 kJ/mol of atoms

a b c (Å): 6.4864 8.7156 12.1073
angles (deg): 65.00 69.40 41.92
Closest atoms and distances in Å follow each position.
Fractional positions:
La 0.7433 0.5463 0.9070  2 Pu 3.42, 4 Ho 3.51-3.66, 5 La 3.55-3.60
La 0.2567 0.4537 0.0930  2 Pu 3.42, 4 Ho 3.51-3.66, 5 La 3.55-3.60
La 0.1409 0.1322 0.7342  1 Pu 2.98
La 0.8591 0.8678 0.2658  1 Pu 2.98
La 0.3561 0.7916 0.4175  4 La 3.53-3.76, 7 Ho 3.60-3.84
La 0.5000 0.0000 0.0000  2 Pu 3.24, 4 La 3.55
La 0.6439 0.2084 0.5825  4 La 3.53-3.76, 7 Ho 3.60-3.84
Ho 0.7216 0.3848 0.2319  8 La 3.51-3.84, 2 Ho 3.77-3.88
Ho 0.2784 0.6152 0.7681  8 La 3.51-3.84, 2 Ho 3.77-3.88
Ho 0.8174 0.7077 0.5833  8 La 3.48-3.79, 4 Ho 3.58-3.88
Ho 0.1826 0.2923 0.4167  8 La 3.48-3.79, 4 Ho 3.58-3.88
Pu 0.0000 0.0000 0.0000  4 La 2.98-3.24

---

8.
CaLa4Te: optimized geometry, GGA-PBE.

Calculated values
Formation energy (no corrections): 0.019 eV per atom
Size of the total moment: 0.033 μB per atom
E_tot: -0.3031 Ry per atom

a b c (Å): 6.7148 6.7148 6.7148
angles (deg): 60.00 60.00 60.00
Closest atoms and distances in Å follow each position.
Fractional positions:
Ca 0.0000 0.0000 0.0000  12 La 3.93, 4 Te 4.11
La 0.8836 0.3721 0.3721  6 La 3.28-3.43
La 0.3721 0.3721 0.8836  6 La 3.28-3.43
La 0.3721 0.8836 0.3721  6 La 3.28-3.43
La 0.3721 0.3721 0.3721  6 La 3.28-3.43
Te 0.7500 0.7500 0.7500  12 La 3.95, 4 Ca 4.11

---

9.
Cu3HgP: optimized geometry, GGA-PBE.

Calculated values
Size of the total moment: 0.000 μB per atom
E_tot: -0.2538 Ry per atom
Energy above the lowest structure with this stoichiometry: 0.0 meV/atom
Formation energy: 14.12 kJ/mol of atoms

a b c (Å): 4.4377 4.4377 4.4377
angles (deg): 90.00 90.00 90.00
Closest atoms and distances in Å follow each position.
Fractional positions:
P 0.0000 0.0000 0.0000  6 Cu 2.22
Hg 0.5000 0.5000 0.5000  12 Cu 3.14
Cu 0.0000 0.5000 0.0000  2 P 2.22
Cu 0.0000 0.0000 0.5000  2 P 2.22
Cu 0.5000 0.0000 0.0000  2 P 2.22

---

10.
Zn2ReHgRh: optimized geometry, GGA-PBE.

Calculated values
Size of the total moment: 0.867 μB per atom
E_tot: -0.2379 Ry per atom
Formation energy: 124.77 kJ/mol of atoms

a b c (Å): 4.6741 5.1458 4.6741
angles (deg): 90.00 90.00 90.00
Closest atoms and distances in Å follow each position.
Fractional positions:
Re 0.5000 0.5000 0.5000  4 Hg 3.31, 8 Zn 3.48
Zn 0.0000 0.0000 0.5000  2 Rh 2.34
Zn 0.5000 0.0000 0.0000  2 Rh 2.34
Rh 0.0000 0.0000 0.0000  4 Zn 2.34, 2 Hg 2.57
Hg 0.0000 0.5000 0.0000  2 Rh 2.57

---

Question: size of the total moment of number 8 (CaLa4Te)?
Answer: 0.033 μB per atom

---

Question: The highest size of the total moment belongs to which entry?
Answer: Zn2ReHgRh